Entry from the Alexandria database: a relaxed structure of Sc5Cd4Ni2 (PBE).

Lattice parameters (Å, degrees): 7.5904 17.4472 3.2966 90.00 90.00 90.00
Last column: nearest neighbours and their distance in Å.
Fractional coordinates of all 22 atoms:
Sc (0.0000, 0.0000, 0.0000)  8 Cd 3.04-3.13, 4 Sc 3.24-3.30
Sc (0.1249, 0.4111, 0.0000)  2 Ni 2.56
Sc (0.2365, 0.7209, 0.0000)  4 Ni 2.74-2.75
Sc (0.2635, 0.2209, 0.0000)  4 Ni 2.74-2.75
Sc (0.3751, 0.9111, 0.0000)  2 Ni 2.56
Sc (0.5000, 0.5000, 0.0000)  8 Cd 3.04-3.13, 4 Sc 3.24-3.30
Sc (0.6249, 0.0889, 0.0000)  2 Ni 2.56
Sc (0.7365, 0.7791, 0.0000)  4 Ni 2.74-2.75
Sc (0.7635, 0.2791, 0.0000)  4 Ni 2.74-2.75
Sc (0.8751, 0.5889, 0.0000)  2 Ni 2.56
Cd (0.0605, 0.8498, 0.5000)  2 Ni 2.80-3.10, 1 Cd 3.08, 6 Sc 3.09-3.13
Cd (0.2019, 0.5675, 0.5000)  1 Ni 2.93, 8 Sc 3.00-3.24, 1 Cd 3.08
Cd (0.2981, 0.0675, 0.5000)  1 Ni 2.93, 8 Sc 3.00-3.24, 1 Cd 3.08
Cd (0.4395, 0.3498, 0.5000)  2 Ni 2.80-3.10, 1 Cd 3.08, 6 Sc 3.09-3.13
Cd (0.5605, 0.6502, 0.5000)  2 Ni 2.80-3.10, 1 Cd 3.08, 6 Sc 3.09-3.13
Cd (0.7019, 0.9325, 0.5000)  1 Ni 2.93, 8 Sc 3.00-3.24, 1 Cd 3.08
Cd (0.7981, 0.4325, 0.5000)  1 Ni 2.93, 8 Sc 3.00-3.24, 1 Cd 3.08
Cd (0.9395, 0.1502, 0.5000)  2 Ni 2.80-3.10, 1 Cd 3.08, 6 Sc 3.09-3.13
Ni (0.0454, 0.3039, 0.5000)  6 Sc 2.56-2.75, 1 Cd 2.80
Ni (0.4546, 0.8039, 0.5000)  6 Sc 2.56-2.75, 1 Cd 2.80
Ni (0.5454, 0.1961, 0.5000)  6 Sc 2.56-2.75, 1 Cd 2.80
Ni (0.9546, 0.6961, 0.5000)  6 Sc 2.56-2.75, 1 Cd 2.80

Calculated values
Space group: Pbam (55)
Total energy, eV per atom: -4.65
Energy of formation from the pure elements, meV/atom: -388.7
Fermi-level density of states, states/eV/atom: 0.737

---

Entry from the Alexandria database: a relaxed structure of ScCd2Ni (PBE).

Lattice parameters (Å, degrees): 4.7075 4.7075 4.7075 120.48 120.48 89.17
Last column: nearest neighbours and their distance in Å.
Fractional coordinates of all 4 atoms:
Sc (0.0000, 0.0000, 0.0000)  4 Cd 2.88, 4 Ni 2.88
Cd (0.5000, 0.5000, 0.0000)  4 Cd 2.88, 4 Ni 2.88
Cd (0.7500, 0.2500, 0.5000)  4 Cd 2.88, 4 Sc 2.88
Ni (0.2500, 0.7500, 0.5000)  4 Cd 2.88, 4 Sc 2.88

Calculated values
Space group: I-4m2 (119)
Total energy, eV per atom: -3.65
Energy of formation from the pure elements, meV/atom: -163.8
Fermi-level density of states, states/eV/atom: 0.746

---

Entry from the Alexandria database: a relaxed structure of ScCd3Ni8 (PBE).

Lattice parameters (Å, degrees): 8.4481 8.4481 8.4481 33.67 33.67 33.67
Last column: nearest neighbours and their distance in Å.
Fractional coordinates of all 12 atoms:
Sc (0.0000, 0.0000, 0.0000)  12 Ni 2.85-2.87, 4 Cd 2.99-3.01
Cd (0.3763, 0.3763, 0.3763)  12 Ni 2.84-2.87, 1 Cd 2.97, 3 Sc 3.01
Cd (0.5009, 0.5009, 0.5009)  12 Ni 2.87-2.88, 4 Cd 2.97-2.99
Cd (0.8746, 0.8746, 0.8746)  12 Ni 2.86-2.89, 3 Cd 2.99, 1 Sc 2.99
Ni (0.1880, 0.1880, 0.1880)  6 Ni 2.45-2.46
Ni (0.4365, 0.9374, 0.9374)  6 Ni 2.43-2.46
Ni (0.4383, 0.4383, 0.9397)  6 Ni 2.43-2.45
Ni (0.4383, 0.9397, 0.4383)  6 Ni 2.43-2.45
Ni (0.6879, 0.6879, 0.6879)  6 Ni 2.43
Ni (0.9374, 0.4365, 0.9374)  6 Ni 2.43-2.46
Ni (0.9374, 0.9374, 0.4365)  6 Ni 2.43-2.46
Ni (0.9397, 0.4383, 0.4383)  6 Ni 2.43-2.45

Calculated values
Space group: R3m (160)
Total energy, eV per atom: -4.77
Energy of formation from the pure elements, meV/atom: -155.3
Fermi-level density of states, states/eV/atom: 1.429

---

Entry from the Alexandria database: a relaxed structure of Sc3Cd2Ni2 (PBE).

Lattice parameters (Å, degrees): 10.7473 10.7473 3.3926 90.00 90.00 160.14
Last column: nearest neighbours and their distance in Å.
Fractional coordinates of all 7 atoms:
Sc (0.0000, 0.0000, 0.0000)  8 Cd 3.09, 2 Sc 3.39
Sc (0.1757, 0.8243, 0.0000)  6 Ni 2.65-2.86
Sc (0.8243, 0.1757, 0.0000)  6 Ni 2.65-2.86
Cd (0.4152, 0.5848, 0.5000)  1 Ni 2.77, 4 Sc 3.09
Cd (0.5848, 0.4152, 0.5000)  1 Ni 2.77, 4 Sc 3.09
Ni (0.2845, 0.7155, 0.5000)  2 Ni 2.36
Ni (0.7155, 0.2845, 0.5000)  2 Ni 2.36

Calculated values
Space group: Cmmm (65)
Total energy, eV per atom: -5.01
Energy of formation from the pure elements, meV/atom: -384.5
Fermi-level density of states, states/eV/atom: 0.828

---

Entry from the Alexandria database: a relaxed structure of ScCd3Ni (PBE).

Lattice parameters (Å, degrees): 5.5036 5.5036 5.5036 90.00 90.00 90.00
Last column: nearest neighbours and their distance in Å.
Fractional coordinates of all 5 atoms:
Sc (0.0000, 0.0000, 0.0000)  6 Cd 2.75
Cd (0.0000, 0.0000, 0.5000)  2 Sc 2.75
Cd (0.0000, 0.5000, 0.0000)  2 Sc 2.75
Cd (0.5000, 0.0000, 0.0000)  2 Sc 2.75
Ni (0.5000, 0.5000, 0.5000)  12 Cd 3.89

Calculated values
Space group: Pm-3m (221)
Total energy, eV per atom: -1.76
Energy of formation from the pure elements, meV/atom: 1210.2
Fermi-level density of states, states/eV/atom: 1.142

---

Entry from the Alexandria database: a relaxed structure of ScCdNi5 (PBE).

Lattice parameters (Å, degrees): 7.9092 4.7456 10.2586 90.00 90.00 90.00
Last column: nearest neighbours and their distance in Å.
Fractional coordinates of all 28 atoms:
Sc (0.2459, 0.2500, 0.0611)  10 Ni 2.73-3.05
Sc (0.2541, 0.7500, 0.5611)  10 Ni 2.73-3.05
Sc (0.7459, 0.2500, 0.4389)  10 Ni 2.73-3.05
Sc (0.7541, 0.7500, 0.9389)  10 Ni 2.73-3.05
Cd (0.1310, 0.2500, 0.3641)  10 Ni 2.57-2.79
Cd (0.3690, 0.7500, 0.8641)  10 Ni 2.57-2.79
Cd (0.6310, 0.2500, 0.1359)  10 Ni 2.57-2.79
Cd (0.8690, 0.7500, 0.6359)  10 Ni 2.57-2.79
Ni (0.0501, 0.2500, 0.6063)  4 Ni 2.44-2.48, 1 Cd 2.57
Ni (0.0701, 0.5010, 0.8135)  7 Ni 2.36-2.44
Ni (0.0701, 0.9990, 0.8135)  7 Ni 2.36-2.44
Ni (0.0838, 0.7500, 0.0173)  5 Ni 2.40-2.43
Ni (0.1876, 0.7500, 0.2383)  7 Ni 2.38-2.48
Ni (0.3124, 0.2500, 0.7383)  7 Ni 2.38-2.48
Ni (0.4162, 0.2500, 0.5173)  5 Ni 2.40-2.43
Ni (0.4299, 0.0010, 0.3135)  7 Ni 2.36-2.44
Ni (0.4299, 0.4990, 0.3135)  7 Ni 2.36-2.44
Ni (0.4499, 0.7500, 0.1063)  4 Ni 2.44-2.48, 1 Cd 2.57
Ni (0.5501, 0.2500, 0.8937)  4 Ni 2.44-2.48, 1 Cd 2.57
Ni (0.5701, 0.5010, 0.6865)  7 Ni 2.36-2.44
Ni (0.5701, 0.9990, 0.6865)  7 Ni 2.36-2.44
Ni (0.5838, 0.7500, 0.4827)  5 Ni 2.40-2.43
Ni (0.6876, 0.7500, 0.2617)  7 Ni 2.38-2.48
Ni (0.8124, 0.2500, 0.7617)  7 Ni 2.38-2.48
Ni (0.9162, 0.2500, 0.9827)  5 Ni 2.40-2.43
Ni (0.9299, 0.0010, 0.1865)  7 Ni 2.36-2.44
Ni (0.9299, 0.4990, 0.1865)  7 Ni 2.36-2.44
Ni (0.9499, 0.7500, 0.3937)  4 Ni 2.44-2.48, 1 Cd 2.57

Calculated values
Space group: Pnma (62)
Total energy, eV per atom: -5.37
Energy of formation from the pure elements, meV/atom: -208.1
Fermi-level density of states, states/eV/atom: 1.266